Entry 1:
# PuScTl6, relaxed, DFT PBE-GGA
# Calculated formation energy ... -0.066 eV per atom
# Uncorrected energy ... -35.39 eV/cell
# V ... 26.4 Å³/atom
data_PuScTl6
_chemical_formula_sum 'Pu1 Sc1 Tl6'
_symmetry_space_group_name_H-M 'P 4/m m m'
_symmetry_Int_Tables_number 123
_symmetry_space_group_name_Hall '-P 4 2'
_cell_length_a 4.732
_cell_length_b 4.732
_cell_length_c 9.447
_cell_angle_alpha 90.00
_cell_angle_beta 90.00
_cell_angle_gamma 90.00
loop_
_atom_site_label
_atom_site_fract_x
_atom_site_fract_y
_atom_site_fract_z
Pu1 0.000 0.000 0.000
Sc1 0.000 0.000 0.500
Tl1 0.000 0.500 0.257
Tl2 0.500 0.500 0.000
Tl3 0.500 0.500 0.500


Entry 2:
# Pr4TmHg, relaxed, DFT PBE-GGA
# Calculated formation energy ... -0.050 eV per atom
# E above lowest polymorph ... 93 meV/atom
# Uncorrected energy ... -96.76 eV/cell
# V ... 33.3 Å³/atom
data_Pr4TmHg
_chemical_formula_sum 'Pr16 Tm4 Hg4'
_symmetry_space_group_name_H-M 'C 1 2/c 1'
_symmetry_Int_Tables_number 15
_symmetry_space_group_name_Hall '-C 2yc'
_cell_length_a 9.068
_cell_length_b 14.334
_cell_length_c 6.511
_cell_angle_alpha 90.00
_cell_angle_beta 109.40
_cell_angle_gamma 90.00
loop_
_atom_site_label
_atom_site_fract_x
_atom_site_fract_y
_atom_site_fract_z
Pr1 0.100 0.190 0.050
Pr2 0.214 0.389 0.374
Tm1 0.000 0.406 0.750
Hg1 0.000 0.002 0.750


Entry 3:
# KTlP2O8, relaxed, DFT PBE-GGA
# Uncorrected energy ... -72.89 eV/cell
# E_form (uncorrected) ... -1578 meV/atom
# V ... 15.9 Å³/atom
data_KTlP2O8
_chemical_formula_sum 'K1 Tl1 P2 O8'
_symmetry_space_group_name_H-M 'P -3'
_symmetry_Int_Tables_number 147
_symmetry_space_group_name_Hall '-P 3'
_cell_length_a 5.2020
_cell_length_b 5.2020
_cell_length_c 8.1636
_cell_angle_alpha 90.00
_cell_angle_beta 90.00
_cell_angle_gamma 120.00
loop_
_atom_site_label
_atom_site_fract_x
_atom_site_fract_y
_atom_site_fract_z
K1 0.0000 0.0000 0.0000
Tl1 0.0000 0.0000 0.5000
P1 0.3333 0.6667 0.7275
O1 0.0682 0.3652 0.6731
O2 0.3333 0.6667 0.9177


Entry 4:
# PuBeSi, relaxed, DFT PBE-GGA
# Uncorrected energy ... -23.35 eV/cell
# E_form (uncorrected) ... 43 meV/atom
# V ... 13.7 Å³/atom
data_PuBeSi
_chemical_formula_sum 'Pu1 Be1 Si1'
_symmetry_space_group_name_H-M 'P -6 m 2'
_symmetry_Int_Tables_number 187
_symmetry_space_group_name_Hall 'P -6 2'
_cell_length_a 4.4181
_cell_length_b 4.4181
_cell_length_c 2.4377
_cell_angle_alpha 90.00
_cell_angle_beta 90.00
_cell_angle_gamma 120.00
loop_
_atom_site_label
_atom_site_fract_x
_atom_site_fract_y
_atom_site_fract_z
Pu1 0.0000 0.0000 0.0000
Be1 0.3333 0.6667 0.5000
Si1 0.6667 0.3333 0.5000


Entry 5:
# V2H3, relaxed, DFT PBE-GGA
# E above lowest polymorph ... 133 meV/atom
# Uncorrected energy ... -226.89 eV/cell
# V ... 8.1 Å³/atom
data_V2H3
_chemical_formula_sum 'V16 H24'
_symmetry_space_group_name_H-M 'C 1 2/c 1'
_symmetry_Int_Tables_number 15
_symmetry_space_group_name_Hall '-C 2yc'
_cell_length_a 5.295
_cell_length_b 7.293
_cell_length_c 8.776
_cell_angle_alpha 90.00
_cell_angle_beta 107.37
_cell_angle_gamma 90.00
loop_
_atom_site_label
_atom_site_fract_x
_atom_site_fract_y
_atom_site_fract_z
V1 0.082 0.126 0.417
V2 0.250 0.124 0.749
H1 0.078 0.128 0.912
H2 0.085 0.381 0.413
H3 0.242 0.126 0.251


Entry 6:
# PuNpFe4, relaxed, DFT PBE-GGA
# Calculated formation energy ... -0.019 eV per atom
# Uncorrected energy ... -244.94 eV/cell
# V ... 14.8 Å³/atom
data_PuNpFe4
_chemical_formula_sum 'Pu4 Np4 Fe16'
_symmetry_space_group_name_H-M 'F -4 3 m'
_symmetry_Int_Tables_number 216
_symmetry_space_group_name_Hall 'F -4 2 3'
_cell_length_a 7.088
_cell_length_b 7.088
_cell_length_c 7.088
_cell_angle_alpha 90.00
_cell_angle_beta 90.00
_cell_angle_gamma 90.00
loop_
_atom_site_label
_atom_site_fract_x
_atom_site_fract_y
_atom_site_fract_z
Pu1 0.000 0.000 0.000
Np1 0.250 0.250 0.250
Fe1 0.125 0.125 0.625